Model a:
# UNbOs, relaxed, DFT GGA-PBE
# N(E_F): 4.07 states/eV/f.u.
# Magnetic moment: 0.00 μB/f.u.
data_UNbOs
_chemical_formula_sum 'U1 Nb1 Os1'
_symmetry_space_group_name_H-M 'P 3 m 1'
_symmetry_Int_Tables_number 156
_cell_length_a 2.8919
_cell_length_b 2.8919
_cell_length_c 7.4468
_cell_angle_alpha 90.00
_cell_angle_beta 90.00
_cell_angle_gamma 120.00
loop_
_symmetry_equiv_pos_as_xyz
'x,y,z'
'-y,x-y,z'
'-x+y,-x,z'
'-y,-x,z'
'-x+y,y,z'
'x,x-y,z'
loop_
_atom_site_label
_atom_site_fract_x
_atom_site_fract_y
_atom_site_fract_z
U1 0.0000 0.0000 0.0000
Nb1 0.6667 0.3333 0.3732
Os1 0.3333 0.6667 0.6653

Model b:
# UNbOs, relaxed, DFT GGA-PBE
# N(E_F): 4.96 states/eV/f.u.
# Magnetic moment: 0.92 μB/f.u.
data_UNbOs
_chemical_formula_sum 'U2 Nb2 Os2'
_symmetry_space_group_name_H-M 'P 4/n m m'
_symmetry_Int_Tables_number 129
_cell_length_a 3.7622
_cell_length_b 3.7622
_cell_length_c 7.9605
_cell_angle_alpha 90.00
_cell_angle_beta 90.00
_cell_angle_gamma 90.00
loop_
_symmetry_equiv_pos_as_xyz
'x,y,z'
'-x,-y,-z'
'-y+1/2,x,z'
'y+1/2,-x,-z'
'-x+1/2,-y+1/2,z'
'x+1/2,y+1/2,-z'
'y,-x+1/2,z'
'-y,x+1/2,-z'
'x+1/2,-y,-z'
'-x+1/2,y,z'
'-y,-x,-z'
'y,x,z'
'-x,y+1/2,-z'
'x,-y+1/2,z'
'y+1/2,x+1/2,-z'
'-y+1/2,-x+1/2,z'
loop_
_atom_site_label
_atom_site_fract_x
_atom_site_fract_y
_atom_site_fract_z
U1 0.2500 0.7500 0.0000
Nb1 0.2500 0.2500 0.3725
Os1 0.2500 0.2500 0.7000

model b ends up most stable, edging out the next structure by 6 meV/atom.

Model a:
# UNb2Os, relaxed, DFT GGA-PBE
# N(E_F): 5.91 states/eV/f.u.
# Magnetic moment: 0.00 μB/f.u.
data_UNb2Os
_chemical_formula_sum 'U1 Nb2 Os1'
_symmetry_space_group_name_H-M 'P 4/m m m'
_symmetry_Int_Tables_number 123
_symmetry_space_group_name_Hall '-P 4 2'
_cell_length_a 3.8788
_cell_length_b 3.8788
_cell_length_c 4.9828
_cell_angle_alpha 90.00
_cell_angle_beta 90.00
_cell_angle_gamma 90.00
loop_
_atom_site_label
_atom_site_fract_x
_atom_site_fract_y
_atom_site_fract_z
U1 0.0000 0.0000 0.0000
Nb1 0.0000 0.5000 0.5000
Os1 0.5000 0.5000 0.0000

Model b:
# UNb2Os, relaxed, DFT GGA-PBE
# N(E_F): 5.89 states/eV/f.u.
# Magnetic moment: 0.00 μB/f.u.
data_UNb2Os
_chemical_formula_sum 'U1 Nb2 Os1'
_symmetry_space_group_name_H-M 'P 4/m m m'
_symmetry_Int_Tables_number 123
_symmetry_space_group_name_Hall '-P 4 2'
_cell_length_a 3.0128
_cell_length_b 3.0128
_cell_length_c 8.1800
_cell_angle_alpha 90.00
_cell_angle_beta 90.00
_cell_angle_gamma 90.00
loop_
_atom_site_label
_atom_site_fract_x
_atom_site_fract_y
_atom_site_fract_z
U1 0.0000 0.0000 0.0000
Nb1 0.5000 0.5000 0.2883
Os1 0.0000 0.0000 0.5000

model b ends up most stable, edging out the next structure by 35 meV/atom.

Model a:
# NbVOs, relaxed, DFT GGA-PBE
# N(E_F): 3.92 states/eV/f.u.
# Magnetic moment: 0.00 μB/f.u.
data_NbVOs
_chemical_formula_sum 'Nb4 V4 Os4'
_symmetry_space_group_name_H-M 'I m m a'
_symmetry_Int_Tables_number 74
_symmetry_space_group_name_Hall '-I 2b 2'
_cell_length_a 4.9683
_cell_length_b 5.3402
_cell_length_c 7.0670
_cell_angle_alpha 90.00
_cell_angle_beta 90.00
_cell_angle_gamma 90.00
loop_
_atom_site_label
_atom_site_fract_x
_atom_site_fract_y
_atom_site_fract_z
Nb1 0.0000 0.2500 0.1258
V1 0.2500 0.2500 0.7500
Os1 0.0000 0.0000 0.5000

Model b:
# NbVOs, relaxed, DFT GGA-PBE
# N(E_F): 1.86 states/eV/f.u.
# Magnetic moment: 0.00 μB/f.u.
data_NbVOs
_chemical_formula_sum 'Nb1 V1 Os1'
_symmetry_space_group_name_H-M 'P 3 m 1'
_symmetry_Int_Tables_number 156
_cell_length_a 4.3503
_cell_length_b 4.3503
_cell_length_c 2.7932
_cell_angle_alpha 90.00
_cell_angle_beta 90.00
_cell_angle_gamma 120.00
loop_
_symmetry_equiv_pos_as_xyz
'x,y,z'
'-y,x-y,z'
'-x+y,-x,z'
'-y,-x,z'
'-x+y,y,z'
'x,x-y,z'
loop_
_atom_site_label
_atom_site_fract_x
_atom_site_fract_y
_atom_site_fract_z
Nb1 0.0000 0.0000 0.0000
V1 0.3333 0.6667 0.3324
Os1 0.6667 0.3333 0.6541

model a ends up most stable, edging out the next structure by 77 meV/atom.

Model a:
# NbVOs, relaxed, DFT GGA-PBE
# N(E_F): 3.42 states/eV/f.u.
# Magnetic moment: 0.00 μB/f.u.
data_NbVOs
_chemical_formula_sum 'Nb2 V2 Os2'
_symmetry_space_group_name_H-M 'P 4/n m m'
_symmetry_Int_Tables_number 129
_cell_length_a 3.7049
_cell_length_b 3.7049
_cell_length_c 7.0852
_cell_angle_alpha 90.00
_cell_angle_beta 90.00
_cell_angle_gamma 90.00
loop_
_symmetry_equiv_pos_as_xyz
'x,y,z'
'-x,-y,-z'
'-y+1/2,x,z'
'y+1/2,-x,-z'
'-x+1/2,-y+1/2,z'
'x+1/2,y+1/2,-z'
'y,-x+1/2,z'
'-y,x+1/2,-z'
'x+1/2,-y,-z'
'-x+1/2,y,z'
'-y,-x,-z'
'y,x,z'
'-x,y+1/2,-z'
'x,-y+1/2,z'
'y+1/2,x+1/2,-z'
'-y+1/2,-x+1/2,z'
loop_
_atom_site_label
_atom_site_fract_x
_atom_site_fract_y
_atom_site_fract_z
Nb1 0.2500 0.2500 0.1493
V1 0.2500 0.7500 0.5000
Os1 0.2500 0.2500 0.7700

Model b:
# NbVOs, relaxed, DFT GGA-PBE
# N(E_F): 2.90 states/eV/f.u.
# Magnetic moment: 0.00 μB/f.u.
data_NbVOs
_chemical_formula_sum 'Nb4 V4 Os4'
_symmetry_space_group_name_H-M 'P n m a'
_symmetry_Int_Tables_number 62
_cell_length_a 9.2972
_cell_length_b 2.9611
_cell_length_c 6.9708
_cell_angle_alpha 90.00
_cell_angle_beta 90.00
_cell_angle_gamma 90.00
loop_
_symmetry_equiv_pos_as_xyz
'x,y,z'
'-x,-y,-z'
'-x+1/2,-y,z+1/2'
'x+1/2,y,-z+1/2'
'x+1/2,-y+1/2,-z+1/2'
'-x+1/2,y+1/2,z+1/2'
'-x,y+1/2,-z'
'x,-y+1/2,z'
loop_
_atom_site_label
_atom_site_fract_x
_atom_site_fract_y
_atom_site_fract_z
Nb1 0.1050 0.2500 0.1498
V1 0.1167 0.7500 0.4884
Os1 0.1442 0.2500 0.7730

Model c:
# NbVOs, relaxed, DFT GGA-PBE
# N(E_F): 2.26 states/eV/f.u.
# Magnetic moment: 0.00 μB/f.u.
data_NbVOs
_chemical_formula_sum 'Nb2 V2 Os2'
_symmetry_space_group_name_H-M 'I 4 m m'
_symmetry_Int_Tables_number 107
_symmetry_space_group_name_Hall 'I 4 -2'
_cell_length_a 3.1139
_cell_length_b 3.1139
_cell_length_c 9.4699
_cell_angle_alpha 90.00
_cell_angle_beta 90.00
_cell_angle_gamma 90.00
loop_
_atom_site_label
_atom_site_fract_x
_atom_site_fract_y
_atom_site_fract_z
Nb1 0.0000 0.0000 0.0000
V1 0.0000 0.0000 0.3322
Os1 0.0000 0.0000 0.6748

model c ends up most stable, edging out the next structure by 216 meV/atom.

Model a:
# NbV3Os, relaxed, DFT GGA-PBE
# N(E_F): 6.73 states/eV/f.u.
# Magnetic moment: 2.80 μB/f.u.
data_NbV3Os
_chemical_formula_sum 'Nb1 V3 Os1'
_symmetry_space_group_name_H-M 'P m -3 m'
_symmetry_Int_Tables_number 221
_symmetry_space_group_name_Hall '-P 4 2 3'
_cell_length_a 4.5607
_cell_length_b 4.5607
_cell_length_c 4.5607
_cell_angle_alpha 90.00
_cell_angle_beta 90.00
_cell_angle_gamma 90.00
loop_
_atom_site_label
_atom_site_fract_x
_atom_site_fract_y
_atom_site_fract_z
Nb1 0.0000 0.0000 0.0000
V1 0.0000 0.5000 0.5000
Os1 0.5000 0.5000 0.5000

Model b:
# NbV3Os, relaxed, DFT GGA-PBE
# N(E_F): 4.46 states/eV/f.u.
# Magnetic moment: 0.00 μB/f.u.
data_NbV3Os
_chemical_formula_sum 'Nb2 V6 Os2'
_symmetry_space_group_name_H-M 'P 1 21/m 1'
_symmetry_Int_Tables_number 11
_cell_length_a 5.1249
_cell_length_b 5.0855
_cell_length_c 5.7705
_cell_angle_alpha 90.00
_cell_angle_beta 90.38
_cell_angle_gamma 90.00
loop_
_symmetry_equiv_pos_as_xyz
'x,y,z'
'-x,-y,-z'
'-x,y+1/2,-z'
'x,-y+1/2,z'
loop_
_atom_site_label
_atom_site_fract_x
_atom_site_fract_y
_atom_site_fract_z
Nb1 0.1363 0.2500 0.3540
V1 0.3607 0.0038 0.8242
V2 0.3705 0.7500 0.4564
Os1 0.0828 0.7500 0.1137

model b ends up most stable, edging out the next structure by 1077 meV/atom.

Model a:
# NbV3Os, relaxed, DFT GGA-PBE
# N(E_F): 10.32 states/eV/f.u.
# Magnetic moment: 0.55 μB/f.u.
data_NbV3Os
_chemical_formula_sum 'Nb1 V3 Os1'
_symmetry_space_group_name_H-M 'P m -3 m'
_symmetry_Int_Tables_number 221
_symmetry_space_group_name_Hall '-P 4 2 3'
_cell_length_a 4.4627
_cell_length_b 4.4627
_cell_length_c 4.4627
_cell_angle_alpha 90.00
_cell_angle_beta 90.00
_cell_angle_gamma 90.00
loop_
_atom_site_label
_atom_site_fract_x
_atom_site_fract_y
_atom_site_fract_z
Nb1 0.0000 0.0000 0.0000
V1 0.0000 0.0000 0.5000
Os1 0.5000 0.5000 0.5000

Model b:
# NbV3Os, relaxed, DFT GGA-PBE
# N(E_F): 3.97 states/eV/f.u.
# Magnetic moment: 0.00 μB/f.u.
data_NbV3Os
_chemical_formula_sum 'Nb2 V6 Os2'
_symmetry_space_group_name_H-M 'P -1'
_symmetry_Int_Tables_number 2
_cell_length_a 5.1027
_cell_length_b 5.1142
_cell_length_c 6.6667
_cell_angle_alpha 77.50
_cell_angle_beta 69.63
_cell_angle_gamma 62.90
loop_
_symmetry_equiv_pos_as_xyz
'x,y,z'
'-x,-y,-z'
loop_
_atom_site_label
_atom_site_fract_x
_atom_site_fract_y
_atom_site_fract_z
Nb1 0.2484 0.2500 0.0026
V1 0.2512 0.0439 0.4056
V2 0.2515 0.4508 0.5943
V3 0.2566 0.8515 0.7866
Os1 0.2424 0.6521 0.2105

model b ends up most stable, edging out the next structure by 1991 meV/atom.